Ca2MgP2 (PBE, optimized geometry); calculated formation energy = -858 meV per atom
1.0
2.365 -4.096 0.000
2.365 4.096 0.000
0.000 0.000 6.104
P Ca Mg
2 2 1
Direct
0.667 0.333 0.209
0.333 0.667 0.791
0.333 0.667 0.298
0.667 0.333 0.702
0.000 0.000 0.000